Entry w
## ZrNp (GGA-PBE)

Data for crystalline ZrNp at its relaxed geometry.

Computed properties:
- size of the total moment (μB/f.u.) = 1.01

a b c (Å): 5.845 4.949 7.950
angles (deg): 90.00 111.51 90.00
Space group Pm (No. 6)
Unique sites:
Zr: 0.000 0.000 0.000 x1
Zr: 0.023 0.500 0.610 x1
Zr: 0.147 0.000 0.406 x1
Zr: 0.414 0.500 0.392 x1
Zr: 0.741 0.000 0.595 x1
Np: 0.214 0.500 0.001 x1
Np: 0.417 0.000 0.834 x1
Np: 0.584 0.000 0.167 x1
Np: 0.610 0.500 0.836 x1
Np: 0.776 0.500 0.166 x1

***

Entry x
## ZrNp (GGA-PBE)

Data for crystalline ZrNp at its relaxed geometry.

Computed properties:
- size of the total moment (μB/f.u.) = 0.01

a b c (Å): 6.105 4.751 9.002
angles (deg): 90.00 103.95 90.00
Space group P2_1/m (No. 11)
Unique sites:
Zr: 0.089 0.250 0.398 x2
Zr: 0.190 0.250 0.748 x2
Zr: 0.405 0.750 0.588 x2
Np: 0.158 0.250 0.091 x2
Np: 0.279 0.750 0.177 x2
Np: 0.444 0.750 0.943 x2

***

Order from most stable to least stable according to the calculation: entry x, entry w

***

Entry w
## Zr4Np3 (GGA-PBE)

Data for crystalline Zr4Np3 at its relaxed geometry.

Computed properties:
- size of the total moment (μB/f.u.) = 4.85

a b c (Å): 7.883 4.982 8.428
angles (deg): 90.00 111.63 90.00
Space group P2_1/m (No. 11)
Unique sites:
Zr: 0.011 0.250 0.268 x2
Zr: 0.127 0.250 0.958 x2
Zr: 0.286 0.250 0.669 x2
Zr: 0.296 0.750 0.182 x2
Np: 0.156 0.750 0.460 x2
Np: 0.477 0.750 0.901 x2
Np: 0.482 0.750 0.580 x2

***

Entry x
## Zr4Np3 (GGA-PBE)

Data for crystalline Zr4Np3 at its relaxed geometry.

Computed properties:
- size of the total moment (μB/f.u.) = 2.87

a b c (Å): 8.093 5.217 8.425
angles (deg): 90.00 118.42 90.00
Space group P2_1/m (No. 11)
Unique sites:
Zr: 0.027 0.250 0.392 x2
Zr: 0.122 0.750 0.040 x2
Zr: 0.153 0.250 0.814 x2
Zr: 0.411 0.750 0.906 x2
Np: 0.326 0.250 0.250 x2
Np: 0.353 0.750 0.495 x2
Np: 0.455 0.250 0.664 x2

***

Order from most stable to least stable according to the calculation: entry w, entry x

***

Entry w
## Zr3Np (GGA-PBE)

Data for crystalline Zr3Np at its relaxed geometry.

Computed properties:
- size of the total moment (μB/f.u.) = 4.29

a b c (Å): 5.308 6.384 5.526
angles (deg): 90.00 90.00 90.00
Space group Pmmn (No. 59, origin choice 2)
Unique sites:
Zr: 0.250 0.006 0.157 x4
Zr: 0.250 0.750 0.660 x2
Np: 0.250 0.250 0.653 x2

***

Entry x
## Zr3Np (GGA-PBE)

Data for crystalline Zr3Np at its relaxed geometry.

Computed properties:
- size of the total moment (μB/f.u.) = 4.82

a b c (Å): 6.4339 6.4339 5.2828
angles (deg): 90.00 90.00 120.00
Space group P6_3/mmc (No. 194)
Unique sites:
Zr: 0.1645 0.3290 0.2500 x6
Np: 0.3333 0.6667 0.7500 x2

***

Order from most stable to least stable according to the calculation: entry w, entry x

***

Entry w
## Os2O5 (GGA-PBE)

Data for crystalline Os2O5 at its relaxed geometry.

Computed properties:
- size of the total moment (μB/f.u.) = 0.00

a b c (Å): 12.351 4.721 5.333
angles (deg): 90.00 101.81 90.00
Space group C2/c (No. 15)
Unique sites:
Os: 0.141 0.245 0.281 x8
O: 0.000 0.419 0.250 x4
O: 0.101 0.063 0.966 x8
O: 0.202 0.419 0.629 x8

***

Entry x
## Os2O5 (GGA-PBE)

Data for crystalline Os2O5 at its relaxed geometry.

Computed properties:
- size of the total moment (μB/f.u.) = 0.01

a b c (Å): 5.342 8.048 4.827
angles (deg): 90.00 113.06 90.00
Space group Cm (No. 8)
Unique sites:
Os: 0.000 0.161 0.000 x4
O: 0.243 0.168 0.793 x4
O: 0.268 0.500 0.721 x2
O: 0.293 0.298 0.244 x4

***

Entry y
## Os2O5 (GGA-PBE)

Data for crystalline Os2O5 at its relaxed geometry.

Computed properties:
- size of the total moment (μB/f.u.) = 0.01

a b c (Å): 4.632 4.651 4.803
angles (deg): 83.44 72.24 67.44
Space group P1 (No. 1)
Unique sites:
Os: 0.000 0.000 0.000 x1
Os: 0.304 0.423 0.992 x1
O: 0.076 0.351 0.761 x1
O: 0.376 0.725 0.704 x1
O: 0.579 0.309 0.232 x1
O: 0.700 0.078 0.781 x1
O: 0.946 0.701 0.295 x1

***

Order from most stable to least stable according to the calculation: entry w, entry y, entry x

***

Entry w
## OsO (GGA-PBE)

Data for crystalline OsO at its relaxed geometry.

Computed properties:
- size of the total moment (μB/f.u.) = 0.01

a b c (Å): 2.6790 2.6790 3.4985
angles (deg): 90.00 90.00 120.00
Space group P-6m2 (No. 187)
Unique sites:
Os: 0.0000 0.0000 0.0000 x1
O: 0.3333 0.6667 0.5000 x1

***

Entry x
## OsO (GGA-PBE)

Data for crystalline OsO at its relaxed geometry.

Computed properties:
- size of the total moment (μB/f.u.) = 0.00

a b c (Å): 4.634 4.634 4.634
angles (deg): 90.00 90.00 90.00
Space group F-43m (No. 216)
Unique sites:
Os: 0.000 0.000 0.000 x4
O: 0.250 0.250 0.250 x4

***

Order from most stable to least stable according to the calculation: entry x, entry w

***

Entry w
## Os4O11 (GGA-PBE)

Data for crystalline Os4O11 at its relaxed geometry.

Computed properties:
- size of the total moment (μB/f.u.) = 0.10

a b c (Å): 4.702 4.958 8.760
angles (deg): 86.61 76.81 76.49
Space group P1 (No. 1)
Unique sites:
Os: 0.000 0.000 0.000 x1
Os: 0.152 0.558 0.856 x1
Os: 0.566 0.396 0.537 x1
Os: 0.792 0.513 0.217 x1
O: 0.033 0.167 0.202 x1
O: 0.168 0.414 0.644 x1
O: 0.201 0.628 0.072 x1
O: 0.318 0.159 0.895 x1
O: 0.435 0.420 0.340 x1
O: 0.540 0.573 0.732 x1
O: 0.671 0.866 0.140 x1
O: 0.764 0.660 0.423 x1
O: 0.804 0.406 0.983 x1
O: 0.805 0.083 0.539 x1
O: 0.906 0.903 0.810 x1

***

Entry x
## Os4O11 (GGA-PBE)

Data for crystalline Os4O11 at its relaxed geometry.

Computed properties:
- size of the total moment (μB/f.u.) = 0.00

a b c (Å): 4.819 4.912 8.490
angles (deg): 85.66 77.94 79.13
Space group P1 (No. 1)
Unique sites:
Os: 0.000 0.000 0.000 x1
Os: 0.142 0.566 0.854 x1
Os: 0.439 0.411 0.482 x1
Os: 0.608 0.957 0.338 x1
O: 0.114 0.356 0.608 x1
O: 0.283 0.808 0.432 x1
O: 0.309 0.184 0.914 x1
O: 0.379 0.330 0.282 x1
O: 0.461 0.591 0.708 x1
O: 0.641 0.860 0.126 x1
O: 0.720 0.082 0.518 x1
O: 0.769 0.580 0.398 x1
O: 0.826 0.385 0.943 x1
O: 0.864 0.883 0.820 x1
O: 0.991 0.056 0.210 x1

***

Entry y
## Os4O11 (GGA-PBE)

Data for crystalline Os4O11 at its relaxed geometry.

Computed properties:
- size of the total moment (μB/f.u.) = 0.01

a b c (Å): 4.800 5.073 8.672
angles (deg): 85.17 77.50 77.32
Space group P1 (No. 1)
Unique sites:
Os: 0.000 0.000 0.000 x1
Os: 0.141 0.545 0.890 x1
Os: 0.490 0.479 0.548 x1
Os: 0.633 0.101 0.336 x1
O: 0.146 0.416 0.664 x1
O: 0.250 0.659 0.064 x1
O: 0.321 0.165 0.930 x1
O: 0.365 0.413 0.339 x1
O: 0.485 0.828 0.464 x1
O: 0.499 0.596 0.748 x1
O: 0.644 0.937 0.148 x1
O: 0.780 0.181 0.535 x1
O: 0.820 0.380 0.960 x1
O: 0.890 0.886 0.826 x1
O: 0.990 0.138 0.223 x1

***

Entry z
## Os4O11 (GGA-PBE)

Data for crystalline Os4O11 at its relaxed geometry.

Computed properties:
- size of the total moment (μB/f.u.) = 0.00

a b c (Å): 4.712 4.966 8.476
angles (deg): 86.36 76.91 75.17
Space group P1 (No. 1)
Unique sites:
Os: 0.000 0.000 0.000 x1
Os: 0.085 0.288 0.462 x1
Os: 0.442 0.309 0.106 x1
Os: 0.895 0.756 0.596 x1
O: 0.098 0.168 0.222 x1
O: 0.159 0.405 0.654 x1
O: 0.243 0.900 0.504 x1
O: 0.288 0.673 0.051 x1
O: 0.320 0.185 0.931 x1
O: 0.426 0.383 0.320 x1
O: 0.561 0.731 0.725 x1
O: 0.676 0.917 0.144 x1
O: 0.739 0.156 0.543 x1
O: 0.834 0.656 0.401 x1
O: 0.952 0.937 0.808 x1

***

Order from most stable to least stable according to the calculation: entry w, entry y, entry x, entry z

***

Entry w
## POsPdO (GGA-PBE)

Data for crystalline POsPdO at its relaxed geometry.

Computed properties:
- size of the total moment (μB/f.u.) = 0.00

a b c (Å): 3.734 3.734 7.103
angles (deg): 90.00 90.00 90.00
Space group P4/nmm (No. 129, origin choice 2)
Unique sites:
P: 0.250 0.250 0.225 x2
Os: 0.250 0.250 0.672 x2
Pd: 0.250 0.750 0.000 x2
O: 0.250 0.750 0.500 x2

***

Entry x
## POsPdO (GGA-PBE)

Data for crystalline POsPdO at its relaxed geometry.

Computed properties:
- size of the total moment (μB/f.u.) = 0.00

a b c (Å): 2.993 6.346 6.167
angles (deg): 90.00 90.00 90.00
Space group Pmc2_1 (No. 26)
Unique sites:
P: 0.000 0.144 0.000 x2
Os: 0.500 0.414 0.947 x2
Pd: 0.000 0.193 0.359 x2
O: 0.500 0.343 0.639 x2

***

Order from most stable to least stable according to the calculation: entry x, entry w

***

Entry w
## POsPdO (GGA-PBE)

Data for crystalline POsPdO at its relaxed geometry.

Computed properties:
- size of the total moment (μB/f.u.) = 0.00

a b c (Å): 4.165 4.165 6.191
angles (deg): 90.00 90.00 90.00
Space group P4/nmm (No. 129, origin choice 2)
Unique sites:
P: 0.250 0.250 0.175 x2
Os: 0.250 0.750 0.000 x2
Pd: 0.250 0.250 0.570 x2
O: 0.250 0.750 0.500 x2

***

Entry x
## POsPdO (GGA-PBE)

Data for crystalline POsPdO at its relaxed geometry.

Computed properties:
- size of the total moment (μB/f.u.) = 0.00

a b c (Å): 2.897 6.290 6.563
angles (deg): 90.00 90.00 90.00
Space group Pmc2_1 (No. 26)
Unique sites:
P: 0.000 0.150 0.000 x2
Os: 0.000 0.172 0.337 x2
Pd: 0.500 0.219 0.735 x2
O: 0.500 0.379 0.416 x2

***

Order from most stable to least stable according to the calculation: entry x, entry w

***

Entry w
## SiPOsO (GGA-PBE)

Data for crystalline SiPOsO at its relaxed geometry.

Computed properties:
- size of the total moment (μB/f.u.) = 0.00

a b c (Å): 3.480 3.480 8.119
angles (deg): 90.00 90.00 90.00
Space group P4/nmm (No. 129, origin choice 2)
Unique sites:
Si: 0.250 0.750 0.000 x2
P: 0.250 0.250 0.232 x2
Os: 0.250 0.250 0.668 x2
O: 0.250 0.750 0.500 x2

***

Entry x
## SiPOsO (GGA-PBE)

Data for crystalline SiPOsO at its relaxed geometry.

Computed properties:
- size of the total moment (μB/f.u.) = 0.00

a b c (Å): 2.966 6.434 5.765
angles (deg): 90.00 90.00 90.00
Space group Pmc2_1 (No. 26)
Unique sites:
Si: 0.000 0.099 0.000 x2
P: 0.000 0.239 0.635 x2
Os: 0.500 0.495 0.620 x2
O: 0.500 0.162 0.137 x2

***

Entry y
## SiPOsO (GGA-PBE)

Data for crystalline SiPOsO at its relaxed geometry.

Computed properties:
- size of the total moment (μB/f.u.) = 0.00

a b c (Å): 3.673 3.673 9.192
angles (deg): 90.00 90.00 90.00
Space group P4/nmm (No. 129, origin choice 2)
Unique sites:
Si: 0.250 0.250 0.098 x2
P: 0.250 0.250 0.667 x2
Os: 0.250 0.750 0.500 x2
O: 0.250 0.750 0.000 x2

***

Order from most stable to least stable according to the calculation: entry x, entry y, entry w